Entry 1:
VASP calculation (PBE-GGA) on a geometry-optimized K4PrTa3O12 structure.

a = 7.2809 Å, b = 7.2809 Å, c = 7.2809 Å
α = 109.47°, β = 109.47°, γ = 109.47°
Positions (direct):
1 K 0.0000 0.0000 0.5000
2 K 0.0000 0.5000 0.0000
3 K 0.5000 0.0000 0.0000
4 K 0.5000 0.5000 0.5000
5 Pr 0.0000 0.0000 0.0000
6 Ta 0.0000 0.5000 0.5000
7 Ta 0.5000 0.0000 0.5000
8 Ta 0.5000 0.5000 0.0000
9 O 0.0000 0.2732 0.2732
10 O 0.0000 0.7268 0.7268
11 O 0.2500 0.5000 0.7500
12 O 0.2500 0.7500 0.5000
13 O 0.2732 0.0000 0.2732
14 O 0.2732 0.2732 0.0000
15 O 0.5000 0.2500 0.7500
16 O 0.5000 0.7500 0.2500
17 O 0.7268 0.0000 0.7268
18 O 0.7268 0.7268 0.0000
19 O 0.7500 0.2500 0.5000
20 O 0.7500 0.5000 0.2500

## Properties
total DFT energy (no corrections)	-7.625	eV/atom
density	5768	kg/m3
formation energy without anion corrections	-2.413	eV per atom
density of states at the Fermi level	0.573	states/eV per atom

Entry 2:
VASP calculation (PBE-GGA) on a geometry-optimized K2TbPrO4 structure.

a = 6.2232 Å, b = 3.5937 Å, c = 6.6281 Å
α = 90.00°, β = 108.19°, γ = 90.00°
Positions (direct):
1 K 0.0000 0.0000 0.0000
2 K 0.5000 0.5000 0.0000
3 Tb 0.0000 0.5000 0.5000
4 Pr 0.5000 0.0000 0.5000
5 O 0.2206 0.0000 0.6879
6 O 0.2599 0.5000 0.3097
7 O 0.7401 0.5000 0.6903
8 O 0.7794 0.0000 0.3121

## Properties
total DFT energy (no corrections)	-6.583	eV/atom
density	5212	kg/m3
formation energy without anion corrections	-2.653	eV per atom
density of states at the Fermi level	0.000	states/eV per atom

Entry 3:
VASP calculation (PBE-GGA) on a geometry-optimized K3Tb2PrO6 structure.

a = 6.1742 Å, b = 6.1742 Å, c = 6.6158 Å
α = 98.94°, β = 98.94°, γ = 120.01°
Positions (direct):
1 K 0.0000 0.0000 0.0000
2 K 0.3315 0.6685 0.0000
3 K 0.6685 0.3315 0.0000
4 Tb 0.1667 0.8333 0.5000
5 Tb 0.8333 0.1667 0.5000
6 Pr 0.5000 0.5000 0.5000
7 O 0.0931 0.4374 0.3122
8 O 0.2185 0.2185 0.6883
9 O 0.4374 0.0931 0.3122
10 O 0.5626 0.9069 0.6878
11 O 0.7815 0.7815 0.3117
12 O 0.9069 0.5626 0.6878

## Properties
total DFT energy (no corrections)	-6.609	eV/atom
density	5377	kg/m3
formation energy without anion corrections	-2.686	eV per atom
density of states at the Fermi level	0.000	states/eV per atom